# 1
Material: UAlPt
Method: DFT, GGA-PBE
State: relaxed

space-group type	No. 12
VASP energy	-7.60	eV per atom

Cell lengths 4.082, 4.082, 7.232 Å; angles 100.60, 100.60, 91.59 degrees
Element x y z (fractional)
1 U 0.142 0.142 0.380
2 U 0.858 0.858 0.620
3 Al 0.000 0.500 0.000
4 Al 0.500 0.000 0.000
5 Pt 0.425 0.425 0.771
6 Pt 0.575 0.575 0.229


# 2
Material: UAl6Pt3
Method: DFT, GGA-PBE
State: relaxed

space-group type	No. 11
VASP energy	-5.92	eV per atom

Cell lengths 8.354, 4.287, 9.786 Å; angles 90.00, 95.08, 90.00 degrees
Element x y z (fractional)
1 U 0.050 0.250 0.291
2 U 0.950 0.750 0.709
3 Al 0.125 0.750 0.027
4 Al 0.172 0.250 0.609
5 Al 0.303 0.750 0.266
6 Al 0.318 0.750 0.776
7 Al 0.425 0.250 0.426
8 Al 0.466 0.250 0.913
9 Al 0.534 0.750 0.087
10 Al 0.575 0.750 0.574
11 Al 0.682 0.250 0.224
12 Al 0.697 0.250 0.734
13 Al 0.828 0.750 0.391
14 Al 0.875 0.250 0.973
15 Pt 0.160 0.250 0.874
16 Pt 0.270 0.750 0.512
17 Pt 0.377 0.250 0.152
18 Pt 0.623 0.750 0.848
19 Pt 0.730 0.250 0.488
20 Pt 0.840 0.750 0.126


# 3
Material: U3AlPt12
Method: DFT, GGA-PBE
State: relaxed

space-group type	No. 123
VASP energy	-7.60	eV per atom

Cell lengths 4.119, 4.119, 16.296 Å; angles 90.00, 90.00, 90.00 degrees
Element x y z (fractional)
1 U 0.000 0.000 0.000
2 U 0.000 0.000 0.259
3 U 0.000 0.000 0.741
4 Al 0.000 0.000 0.500
5 Pt 0.000 0.500 0.129
6 Pt 0.000 0.500 0.384
7 Pt 0.000 0.500 0.616
8 Pt 0.000 0.500 0.871
9 Pt 0.500 0.000 0.129
10 Pt 0.500 0.000 0.384
11 Pt 0.500 0.000 0.616
12 Pt 0.500 0.000 0.871
13 Pt 0.500 0.500 0.000
14 Pt 0.500 0.500 0.257
15 Pt 0.500 0.500 0.500
16 Pt 0.500 0.500 0.743


# 4
Material: UAlZnPt
Method: DFT, GGA-PBE
State: relaxed

space-group type	No. 216
VASP energy	-5.94	eV per atom

Cell lengths 4.716, 4.716, 4.716 Å; angles 60.00, 60.00, 60.00 degrees
Element x y z (fractional)
1 U 0.000 0.000 0.000
2 Al 0.500 0.500 0.500
3 Zn 0.250 0.250 0.250
4 Pt 0.750 0.750 0.750


# 5
Material: UAlZn2Pt4
Method: DFT, GGA-PBE
State: relaxed

space-group type	No. 166
VASP energy	-5.91	eV per atom

Cell lengths 8.645, 8.645, 8.645 Å; angles 28.97, 28.97, 28.97 degrees
Element x y z (fractional)
1 U 0.000 0.000 0.000
2 Al 0.500 0.500 0.500
3 Zn 0.244 0.244 0.244
4 Zn 0.756 0.756 0.756
5 Pt 0.133 0.133 0.133
6 Pt 0.396 0.396 0.396
7 Pt 0.604 0.604 0.604
8 Pt 0.867 0.867 0.867


# 6
Material: Al2V2Pt
Method: DFT, GGA-PBE
State: relaxed

space-group type	No. 127
VASP energy	-6.64	eV per atom

Cell lengths 6.290, 6.290, 3.818 Å; angles 90.00, 90.00, 90.00 degrees
Element x y z (fractional)
1 Al 0.143 0.357 0.000
2 Al 0.357 0.857 0.000
3 Al 0.643 0.143 0.000
4 Al 0.857 0.643 0.000
5 V 0.151 0.651 0.500
6 V 0.349 0.151 0.500
7 V 0.651 0.849 0.500
8 V 0.849 0.349 0.500
9 Pt 0.000 0.000 0.000
10 Pt 0.500 0.500 0.000


# 7
Material: Al2VPt2
Method: DFT, GGA-PBE
State: relaxed

space-group type	No. 127
VASP energy	-6.39	eV per atom
energy relative to the lowest polymorph listed for this composition	0	meV per atom

Cell lengths 7.420, 7.420, 2.750 Å; angles 90.00, 90.00, 90.00 degrees
Element x y z (fractional)
1 Al 0.137 0.363 0.000
2 Al 0.363 0.863 0.000
3 Al 0.637 0.137 0.000
4 Al 0.863 0.637 0.000
5 V 0.000 0.000 0.000
6 V 0.500 0.500 0.000
7 Pt 0.161 0.661 0.500
8 Pt 0.339 0.161 0.500
9 Pt 0.661 0.839 0.500
10 Pt 0.839 0.339 0.500


# 8
Material: Al3VPt12
Method: DFT, GGA-PBE
State: relaxed

space-group type	No. 123
VASP energy	-6.46	eV per atom

Cell lengths 3.924, 3.924, 15.649 Å; angles 90.00, 90.00, 90.00 degrees
Element x y z (fractional)
1 Al 0.000 0.000 0.000
2 Al 0.000 0.000 0.245
3 Al 0.000 0.000 0.755
4 V 0.000 0.000 0.500
5 Pt 0.000 0.500 0.125
6 Pt 0.000 0.500 0.378
7 Pt 0.000 0.500 0.622
8 Pt 0.000 0.500 0.875
9 Pt 0.500 0.000 0.125
10 Pt 0.500 0.000 0.378
11 Pt 0.500 0.000 0.622
12 Pt 0.500 0.000 0.875
13 Pt 0.500 0.500 0.000
14 Pt 0.500 0.500 0.251
15 Pt 0.500 0.500 0.500
16 Pt 0.500 0.500 0.749


# 9
Material: AlVPt2
Method: DFT, GGA-PBE
State: relaxed

space-group type	No. 123
VASP energy	-6.87	eV per atom

Cell lengths 4.001, 4.001, 3.718 Å; angles 90.00, 90.00, 90.00 degrees
Element x y z (fractional)
1 Al 0.000 0.000 0.000
2 V 0.500 0.500 0.000
3 Pt 0.000 0.500 0.500
4 Pt 0.500 0.000 0.500


# 10
Material: AlVPt4
Method: DFT, GGA-PBE
State: relaxed

space-group type	No. 123
VASP energy	-6.72	eV per atom

Cell lengths 4.051, 4.051, 6.090 Å; angles 90.00, 90.00, 90.00 degrees
Element x y z (fractional)
1 Al 0.000 0.000 0.000
2 V 0.500 0.500 0.500
3 Pt 0.000 0.500 0.247
4 Pt 0.000 0.500 0.753
5 Pt 0.500 0.000 0.247
6 Pt 0.500 0.000 0.753


# 11
Material: AlVPt2
Method: DFT, GGA-PBE
State: relaxed

space-group type	No. 123
VASP energy	-6.97	eV per atom

Cell lengths 2.791, 2.791, 7.436 Å; angles 90.00, 90.00, 90.00 degrees
Element x y z (fractional)
1 Al 0.000 0.000 0.000
2 V 0.000 0.000 0.500
3 Pt 0.500 0.500 0.243
4 Pt 0.500 0.500 0.757


# 12
Material: AlVPt3
Method: DFT, GGA-PBE
State: relaxed

space-group type	No. 221
VASP energy	-5.52	eV per atom

Cell lengths 4.644, 4.644, 4.644 Å; angles 90.00, 90.00, 90.00 degrees
Element x y z (fractional)
1 Al 0.000 0.000 0.000
2 V 0.500 0.500 0.500
3 Pt 0.000 0.500 0.500
4 Pt 0.500 0.000 0.500
5 Pt 0.500 0.500 0.000


# 13
Material: AlVPt
Method: DFT, GGA-PBE
State: relaxed

space-group type	No. 107
VASP energy	-6.91	eV per atom

Cell lengths 5.799, 5.799, 5.799 Å; angles 151.95, 151.95, 40.09 degrees
Element x y z (fractional)
1 Al 0.000 0.000 0.000
2 V 0.664 0.664 0.000
3 Pt 0.338 0.338 0.000


# 14
Material: Al2VPt2
Method: DFT, GGA-PBE
State: relaxed

space-group type	No. 139
VASP energy	-6.10	eV per atom
energy relative to the lowest polymorph listed for this composition	291	meV per atom

Cell lengths 6.179, 6.179, 6.179 Å; angles 143.01, 143.01, 53.31 degrees
Element x y z (fractional)
1 Al 0.113 0.113 0.000
2 Al 0.887 0.887 0.000
3 V 0.500 0.500 0.000
4 Pt 0.250 0.750 0.500
5 Pt 0.750 0.250 0.500


# 15
Material: Al3V12Pt
Method: DFT, GGA-PBE
State: relaxed

space-group type	No. 47
VASP energy	-8.16	eV per atom

Cell lengths 4.789, 4.797, 9.662 Å; angles 90.00, 90.00, 90.00 degrees
Element x y z (fractional)
1 Al 0.000 0.000 0.000
2 Al 0.500 0.500 0.249
3 Al 0.500 0.500 0.751
4 V 0.000 0.500 0.131
5 V 0.000 0.500 0.379
6 V 0.000 0.500 0.621
7 V 0.000 0.500 0.869
8 V 0.248 0.000 0.251
9 V 0.248 0.000 0.749
10 V 0.500 0.251 0.500
11 V 0.500 0.257 0.000
12 V 0.500 0.743 0.000
13 V 0.500 0.749 0.500
14 V 0.752 0.000 0.251
15 V 0.752 0.000 0.749
16 Pt 0.000 0.000 0.500


# 16
Material: Al5V6Pt
Method: DFT, GGA-PBE
State: relaxed

space-group type	No. 71
VASP energy	-6.97	eV per atom

Cell lengths 7.078, 7.078, 7.078 Å; angles 148.67, 109.36, 79.30 degrees
Element x y z (fractional)
1 Al 0.000 0.000 0.000
2 Al 0.173 0.673 0.500
3 Al 0.347 0.347 0.000
4 Al 0.653 0.653 0.000
5 Al 0.827 0.327 0.500
6 V 0.071 0.830 0.241
7 V 0.236 0.500 0.736
8 V 0.411 0.170 0.241
9 V 0.589 0.830 0.759
10 V 0.764 0.500 0.264
11 V 0.929 0.170 0.759
12 Pt 0.500 0.000 0.500


# 17
Material: AlV3Pt
Method: DFT, GGA-PBE
State: relaxed

space-group type	No. 221
VASP energy	-6.32	eV per atom
energy relative to the lowest polymorph listed for this composition	139	meV per atom

Cell lengths 4.370, 4.370, 4.370 Å; angles 90.00, 90.00, 90.00 degrees
Element x y z (fractional)
1 Al 0.000 0.000 0.000
2 V 0.000 0.000 0.500
3 V 0.000 0.500 0.000
4 V 0.500 0.000 0.000
5 Pt 0.500 0.500 0.500


# 18
Material: AlV2Pt
Method: DFT, GGA-PBE
State: relaxed

space-group type	No. 122
VASP energy	-6.92	eV per atom

Cell lengths 5.611, 5.611, 5.611 Å; angles 101.68, 101.68, 126.53 degrees
Element x y z (fractional)
1 Al 0.000 0.000 0.000
2 Al 0.750 0.250 0.500
3 V 0.143 0.125 0.518
4 V 0.375 0.857 0.982
5 V 0.607 0.625 0.482
6 V 0.875 0.393 0.018
7 Pt 0.250 0.750 0.500
8 Pt 0.500 0.500 0.000


# 19
Material: AlVPt
Method: DFT, GGA-PBE
State: relaxed

space-group type	No. 63
VASP energy	-6.68	eV per atom

Cell lengths 7.919, 7.919, 4.165 Å; angles 90.00, 90.00, 160.27 degrees
Element x y z (fractional)
1 Al 0.043 0.957 0.750
2 Al 0.957 0.043 0.250
3 V 0.376 0.624 0.750
4 V 0.624 0.376 0.250
5 Pt 0.203 0.797 0.750
6 Pt 0.797 0.203 0.250


# 20
Material: AlV3Pt
Method: DFT, GGA-PBE
State: relaxed

space-group type	No. 221
VASP energy	-6.46	eV per atom
energy relative to the lowest polymorph listed for this composition	0	meV per atom

Cell lengths 4.636, 4.636, 4.636 Å; angles 90.00, 90.00, 90.00 degrees
Element x y z (fractional)
1 Al 0.000 0.000 0.000
2 V 0.000 0.500 0.500
3 V 0.500 0.000 0.500
4 V 0.500 0.500 0.000
5 Pt 0.500 0.500 0.500


# 21
Material: Al2VPt9
Method: DFT, GGA-PBE
State: relaxed

space-group type	No. 123
VASP energy	-6.56	eV per atom

Cell lengths 3.920, 3.920, 11.757 Å; angles 90.00, 90.00, 90.00 degrees
Element x y z (fractional)
1 Al 0.000 0.000 0.163
2 Al 0.000 0.000 0.837
3 V 0.000 0.000 0.500
4 Pt 0.000 0.500 0.000
5 Pt 0.000 0.500 0.336
6 Pt 0.000 0.500 0.664
7 Pt 0.500 0.000 0.000
8 Pt 0.500 0.000 0.336
9 Pt 0.500 0.000 0.664
10 Pt 0.500 0.500 0.168
11 Pt 0.500 0.500 0.500
12 Pt 0.500 0.500 0.832


# 22
Material: Al6V2Pt
Method: DFT, GGA-PBE
State: relaxed

space-group type	No. 65
VASP energy	-5.45	eV per atom

Cell lengths 7.770, 7.770, 2.862 Å; angles 90.00, 90.00, 125.71 degrees
Element x y z (fractional)
1 Al 0.024 0.347 0.000
2 Al 0.313 0.313 0.500
3 Al 0.347 0.024 0.000
4 Al 0.653 0.976 0.000
5 Al 0.687 0.687 0.500
6 Al 0.976 0.653 0.000
7 V 0.312 0.688 0.500
8 V 0.688 0.312 0.500
9 Pt 0.000 0.000 0.000


# 23
Material: AlVPt2
Method: DFT, GGA-PBE
State: relaxed

space-group type	No. 122
VASP energy	-6.48	eV per atom

Cell lengths 8.873, 8.873, 8.873 Å; angles 154.28, 154.28, 36.69 degrees
Element x y z (fractional)
1 Al 0.000 0.000 0.000
2 Al 0.750 0.250 0.500
3 V 0.250 0.750 0.500
4 V 0.500 0.500 0.000
5 Pt 0.126 0.625 0.001
6 Pt 0.375 0.376 0.501
7 Pt 0.624 0.125 0.999
8 Pt 0.875 0.874 0.499


# 24
Material: Al2VPt2
Method: DFT, GGA-PBE
State: relaxed

space-group type	No. 127
VASP energy	-6.36	eV per atom
energy relative to the lowest polymorph listed for this composition	34	meV per atom

Cell lengths 7.441, 7.441, 2.790 Å; angles 90.00, 90.00, 90.00 degrees
Element x y z (fractional)
1 Al 0.157 0.343 0.000
2 Al 0.343 0.843 0.000
3 Al 0.657 0.157 0.000
4 Al 0.843 0.657 0.000
5 V 0.000 0.000 0.500
6 V 0.500 0.500 0.500
7 Pt 0.141 0.641 0.500
8 Pt 0.359 0.141 0.500
9 Pt 0.641 0.859 0.500
10 Pt 0.859 0.359 0.500


Number 1: formation enthalpy at 0 K -578 meV per atom, Fermi-level density of states 1.626 states/eV per atom, calculated density 13.2 g/cm3. Number 2: formation enthalpy at 0 K -729 meV per atom, Fermi-level density of states 0.719 states/eV per atom, calculated density 9.4 g/cm3. Number 3: formation enthalpy at 0 K -716 meV per atom, Fermi-level density of states 1.250 states/eV per atom, calculated density 18.5 g/cm3. Number 4: formation enthalpy at 0 K -357 meV per atom, Fermi-level density of states 1.916 states/eV per atom, calculated density 11.8 g/cm3. Number 5: formation enthalpy at 0 K -697 meV per atom, Fermi-level density of states 0.887 states/eV per atom, calculated density 14.6 g/cm3. Number 6: formation enthalpy at 0 K -284 meV per atom, Fermi-level density of states 0.682 states/eV per atom, calculated density 7.7 g/cm3. Number 7: formation enthalpy at 0 K -657 meV per atom, Fermi-level density of states 0.451 states/eV per atom, calculated density 10.9 g/cm3. Number 8: formation enthalpy at 0 K -657 meV per atom, Fermi-level density of states 0.819 states/eV per atom, calculated density 17.0 g/cm3. Number 9: formation enthalpy at 0 K -635 meV per atom, Fermi-level density of states 0.761 states/eV per atom, calculated density 13.1 g/cm3. Number 10: formation enthalpy at 0 K -553 meV per atom, Fermi-level density of states 0.395 states/eV per atom, calculated density 14.3 g/cm3. Number 11: formation enthalpy at 0 K -737 meV per atom, Fermi-level density of states 0.733 states/eV per atom, calculated density 13.4 g/cm3. Number 12: formation enthalpy at 0 K 676 meV per atom, Fermi-level density of states 1.397 states/eV per atom, calculated density 11.0 g/cm3. Number 13: formation enthalpy at 0 K -606 meV per atom, Fermi-level density of states 0.487 states/eV per atom, calculated density 10.5 g/cm3. Number 14: formation enthalpy at 0 K -366 meV per atom, Fermi-level density of states 0.695 states/eV per atom, calculated density 9.7 g/cm3. Number 15: formation enthalpy at 0 K -239 meV per atom, Fermi-level density of states 1.472 states/eV per atom, calculated density 6.6 g/cm3. Number 16: formation enthalpy at 0 K -345 meV per atom, Fermi-level density of states 0.621 states/eV per atom, calculated density 6.2 g/cm3. Number 17: formation enthalpy at 0 K 1107 meV per atom, Fermi-level density of states 1.180 states/eV per atom, calculated density 7.5 g/cm3. Number 18: formation enthalpy at 0 K 82 meV per atom, Fermi-level density of states 1.053 states/eV per atom, calculated density 8.5 g/cm3. Number 19: formation enthalpy at 0 K -376 meV per atom, Fermi-level density of states 0.758 states/eV per atom, calculated density 10.3 g/cm3. Number 20: formation enthalpy at 0 K 968 meV per atom, Fermi-level density of states 1.311 states/eV per atom, calculated density 6.2 g/cm3. Number 21: formation enthalpy at 0 K -641 meV per atom, Fermi-level density of states 0.789 states/eV per atom, calculated density 17.1 g/cm3. Number 22: formation enthalpy at 0 K -260 meV per atom, Fermi-level density of states 0.796 states/eV per atom, calculated density 5.4 g/cm3. Number 23: formation enthalpy at 0 K -243 meV per atom, Fermi-level density of states 0.352 states/eV per atom, calculated density 11.8 g/cm3. Number 24: formation enthalpy at 0 K -623 meV per atom, Fermi-level density of states 0.808 states/eV per atom, calculated density 10.6 g/cm3.